Cu3Ag5 | GGA-PBE | relaxed

a = 18.3528 Å, b = 2.8179 Å, c = 4.8777 Å
α = 90.00°, β = 94.38°, γ = 90.00°
Space group Cm (No. 8)
Symmetry-distinct sites (fractional):
Cu  0.0000  0.0000  0.0000 [2 per cell]
Cu  0.1153  0.5000  0.8771 [2 per cell]
Cu  0.3702  0.5000  0.6279 [2 per cell]
Ag  0.1171  0.0000  0.3694 [2 per cell]
Ag  0.2436  0.0000  0.7514 [2 per cell]
Ag  0.2473  0.5000  0.2506 [2 per cell]
Ag  0.3772  0.0000  0.1134 [2 per cell]
Ag  0.4916  0.0000  0.5212 [2 per cell]

Values from the calculation:
Distance to the lowest polymorph of the same formula ... 55 meV/atom
Crystal system ... monoclinic
ΔH_f (0 K) ... 0.09 eV per atom

CuAg | GGA-PBE | relaxed

a = 2.8631 Å, b = 2.9652 Å, c = 14.4269 Å
α = 90.00°, β = 90.00°, γ = 90.00°
Space group Pmmn (No. 59, origin choice 2)
Symmetry-distinct sites (fractional):
Cu  0.2500  0.2500  0.0476 [2 per cell]
Cu  0.2500  0.2500  0.8584 [2 per cell]
Ag  0.2500  0.7500  0.4297 [2 per cell]
Ag  0.2500  0.7500  0.7104 [2 per cell]

Values from the calculation:
Crystal system ... orthorhombic
ΔH_f (0 K) ... 0.13 eV per atom

CuAg | GGA-PBE | relaxed

a = 2.8533 Å, b = 2.8538 Å, c = 21.7333 Å
α = 90.14°, β = 90.19°, γ = 90.01°
Space group P1 (No. 1)
Symmetry-distinct sites (fractional):
Cu  0.0000  0.0000  0.0000 [1 per cell]
Cu  0.0013  0.0057  0.1356 [1 per cell]
Cu  0.4886  0.4894  0.7965 [1 per cell]
Cu  0.4971  0.4961  0.9321 [1 per cell]
Cu  0.5014  0.5033  0.0677 [1 per cell]
Cu  0.9933  0.9924  0.8644 [1 per cell]
Ag  0.4703  0.4873  0.6133 [1 per cell]
Ag  0.4755  0.4972  0.4170 [1 per cell]
Ag  0.4970  0.5070  0.2201 [1 per cell]
Ag  0.9691  0.9913  0.5151 [1 per cell]
Ag  0.9800  0.9869  0.7120 [1 per cell]
Ag  0.9858  0.0036  0.3188 [1 per cell]

Values from the calculation:
Crystal system ... triclinic
ΔH_f (0 K) ... 0.04 eV per atom

Cu4Ag5 | GGA-PBE | relaxed

a = 9.3771 Å, b = 2.8468 Å, c = 11.1542 Å
α = 90.00°, β = 113.12°, γ = 90.00°
Space group C2/m (No. 12)
Symmetry-distinct sites (fractional):
Cu  0.0195  0.0000  0.1444 [4 per cell]
Cu  0.1596  0.5000  0.0342 [4 per cell]
Ag  0.0000  0.0000  0.5000 [2 per cell]
Ag  0.1584  0.5000  0.7555 [4 per cell]
Ag  0.1709  0.5000  0.3729 [4 per cell]

Values from the calculation:
Distance to the lowest polymorph of the same formula ... 17 meV/atom
Crystal system ... monoclinic
ΔH_f (0 K) ... 0.06 eV per atom

CuAg | GGA-PBE | relaxed

a = 2.8116 Å, b = 2.8116 Å, c = 65.8844 Å
α = 90.00°, β = 90.00°, γ = 120.00°
Space group R3m (No. 160, hexagonal axes)
Symmetry-distinct sites (fractional):
Cu  0.0000  0.0000  0.0000 [3 per cell]
Cu  0.0000  0.0000  0.0961 [3 per cell]
Cu  0.0000  0.0000  0.1996 [3 per cell]
Cu  0.0000  0.0000  0.6958 [3 per cell]
Cu  0.0000  0.0000  0.8950 [3 per cell]
Ag  0.0000  0.0000  0.2997 [3 per cell]
Ag  0.0000  0.0000  0.3962 [3 per cell]
Ag  0.0000  0.0000  0.4997 [3 per cell]
Ag  0.0000  0.0000  0.5951 [3 per cell]
Ag  0.0000  0.0000  0.7957 [3 per cell]

Values from the calculation:
Crystal system ... trigonal
ΔH_f (0 K) ... 0.10 eV per atom

CuAg2 | GGA-PBE | relaxed

a = 14.1659 Å, b = 2.9037 Å, c = 7.0644 Å
α = 90.00°, β = 98.71°, γ = 90.00°
Space group C2/m (No. 12)
Symmetry-distinct sites (fractional):
Cu  0.0000  0.0000  0.0000 [2 per cell]
Cu  0.2158  0.0000  0.3607 [4 per cell]
Ag  0.0502  0.5000  0.3317 [4 per cell]
Ag  0.1275  0.0000  0.6832 [4 per cell]
Ag  0.1664  0.5000  0.0368 [4 per cell]

Values from the calculation:
Distance to the lowest polymorph of the same formula ... 44 meV/atom
Crystal system ... monoclinic
ΔH_f (0 K) ... 0.07 eV per atom

CuAg | GGA-PBE | relaxed

a = 5.6127 Å, b = 15.0546 Å, c = 2.7918 Å
α = 90.00°, β = 90.00°, γ = 90.00°
Space group Cmmm (No. 65)
Symmetry-distinct sites (fractional):
Cu  0.0000  0.1173  0.0000 [4 per cell]
Cu  0.2177  0.0000  0.5000 [4 per cell]
Ag  0.0000  0.3903  0.0000 [4 per cell]
Ag  0.2500  0.2500  0.5000 [4 per cell]

Values from the calculation:
Crystal system ... orthorhombic
ΔH_f (0 K) ... 0.08 eV per atom

CuAg | GGA-PBE | relaxed

a = 4.7992 Å, b = 2.8128 Å, c = 11.2269 Å
α = 90.00°, β = 97.48°, γ = 90.00°
Space group Pm (No. 6)
Symmetry-distinct sites (fractional):
Cu  0.0000  0.0000  0.0000 [1 per cell]
Cu  0.0757  0.5000  0.8176 [1 per cell]
Cu  0.6293  0.0000  0.8023 [1 per cell]
Cu  0.7083  0.5000  0.6173 [1 per cell]
Cu  0.8079  0.0000  0.4258 [1 per cell]
Ag  0.2004  0.0000  0.6288 [1 per cell]
Ag  0.3138  0.5000  0.4209 [1 per cell]
Ag  0.4028  0.0000  0.2068 [1 per cell]
Ag  0.5027  0.5000  0.9925 [1 per cell]
Ag  0.9030  0.5000  0.2115 [1 per cell]

Values from the calculation:
Crystal system ... monoclinic
ΔH_f (0 K) ... 0.10 eV per atom

Cu3Ag5 | GGA-PBE | relaxed

a = 4.0306 Å, b = 4.0306 Å, c = 15.4430 Å
α = 90.00°, β = 90.00°, γ = 90.00°
Space group I4mm (No. 107)
Symmetry-distinct sites (fractional):
Cu  0.0000  0.0000  0.0000 [2 per cell]
Cu  0.0000  0.5000  0.3925 [4 per cell]
Ag  0.0000  0.0000  0.2728 [2 per cell]
Ag  0.0000  0.0000  0.5025 [2 per cell]
Ag  0.0000  0.0000  0.7725 [2 per cell]
Ag  0.0000  0.5000  0.1329 [4 per cell]

Values from the calculation:
Distance to the lowest polymorph of the same formula ... 34 meV/atom
Crystal system ... tetragonal
ΔH_f (0 K) ... 0.07 eV per atom

Cu3Ag7 | GGA-PBE | relaxed

a = 4.9548 Å, b = 5.7464 Å, c = 6.2037 Å
α = 76.67°, β = 76.52°, γ = 72.90°
Space group P1 (No. 1)
Symmetry-distinct sites (fractional):
Cu  0.0000  0.0000  0.0000 [1 per cell]
Cu  0.0042  0.4809  0.9983 [1 per cell]
Cu  0.6308  0.3799  0.8057 [1 per cell]
Ag  0.2100  0.2845  0.6210 [1 per cell]
Ag  0.2266  0.7748  0.6173 [1 per cell]
Ag  0.3993  0.5910  0.1824 [1 per cell]
Ag  0.4010  0.0966  0.1878 [1 per cell]
Ag  0.6357  0.8815  0.8028 [1 per cell]
Ag  0.8118  0.1916  0.3953 [1 per cell]
Ag  0.8151  0.6875  0.3877 [1 per cell]

Values from the calculation:
Distance to the lowest polymorph of the same formula ... 42 meV/atom
Crystal system ... triclinic
ΔH_f (0 K) ... 0.07 eV per atom

Cu4Ag5 | GGA-PBE | relaxed

a = 14.2770 Å, b = 2.8348 Å, c = 8.2824 Å
α = 90.00°, β = 124.39°, γ = 90.00°
Space group Cm (No. 8)
Symmetry-distinct sites (fractional):
Cu  0.0000  0.0000  0.0000 [2 per cell]
Cu  0.0034  0.0000  0.3173 [2 per cell]
Cu  0.1734  0.5000  0.6606 [2 per cell]
Cu  0.3476  0.0000  0.0002 [2 per cell]
Ag  0.0107  0.0000  0.6578 [2 per cell]
Ag  0.1635  0.5000  0.3230 [2 per cell]
Ag  0.1742  0.5000  0.9899 [2 per cell]
Ag  0.3396  0.0000  0.6744 [2 per cell]
Ag  0.3437  0.0000  0.3229 [2 per cell]

Values from the calculation:
Distance to the lowest polymorph of the same formula ... 63 meV/atom
Crystal system ... monoclinic
ΔH_f (0 K) ... 0.10 eV per atom

CuAg8 | GGA-PBE | relaxed

a = 9.1953 Å, b = 4.1054 Å, c = 8.6877 Å
α = 90.00°, β = 108.52°, γ = 90.00°
Space group C2/m (No. 12)
Symmetry-distinct sites (fractional):
Cu  0.0000  0.0000  0.0000 [2 per cell]
Ag  0.0022  0.0000  0.6731 [4 per cell]
Ag  0.1607  0.5000  0.2153 [4 per cell]
Ag  0.1667  0.5000  0.5560 [4 per cell]
Ag  0.1685  0.5000  0.8927 [4 per cell]

Values from the calculation:
Distance to the lowest polymorph of the same formula ... 13 meV/atom
Crystal system ... monoclinic
ΔH_f (0 K) ... 0.03 eV per atom

Among the records above, which one has the highest ΔH_f (0 K)?
number 2

The lowest ΔH_f (0 K) belongs to which entry?
CuAg8